Computed, not measured: an optimized crystal structure of LiVOF3 at the PBE with a Hubbard U level of DFT. Values from VASP.

Cell and atoms, written as Quantum ESPRESSO input:
```
&SYSTEM
  ibrav = 0, nat = 12, ntyp = 4
/
ATOMIC_SPECIES
Li 6.94 Li.upf
V 50.94 V.upf
O 16.00 O.upf
F 19.00 F.upf
CELL_PARAMETERS angstrom
6.6240 -2.3590 0.0000
6.6240 2.3590 0.0000
-1.6484 0.0000 4.4199
ATOMIC_POSITIONS crystal
Li 0.0000 0.0000 0.0000
Li 0.5036 0.4964 0.5000
V 0.2819 0.3336 0.7823
V 0.6664 0.7181 0.2177
O 0.0199 0.5797 0.5216
O 0.4203 0.9801 0.4784
F 0.2192 0.6205 0.1268
F 0.3795 0.7808 0.8732
F 0.5827 0.0199 0.0771
F 0.6258 0.2142 0.7176
F 0.7858 0.3742 0.2824
F 0.9801 0.4173 0.9229
```

Computed properties:
* volume: 69 Å³/f.u.
* energy relative to the lowest polymorph listed for this composition: 0.14 eV/f.u.
* energy: -71.332 eV/cell
* ρ: 3.1 g/cm³
* density of states at the Fermi level: 0.00 states/eV/f.u.